{"formula": "Dy4Er2LuTe2Pd2", "functional": "PBE", "state": "relaxed", "cell": [[-6.9393, -3.1631, 5.4763], [2.9329, 8.8398, 1.1858], [-4.9056, -6.9391, -3.9917]], "species": ["Dy", "Dy", "Dy", "Dy", "Er", "Er", "Lu", "Pd", "Pd", "Te", "Te"], "fractional_positions": [[0.6920, 0.3738, 0.3182], [0.0906, 0.7329, 0.3577], [0.3752, 0.7329, 0.6423], [0.0556, 0.3738, 0.6818], [0.7117, 0.5821, 0.1296], [0.4525, 0.5821, 0.8704], [0.9988, 0.9988, 0.0000], [0.3063, 0.0691, 0.2372], [0.8319, 0.0691, 0.7628], [0.3388, 0.3388, 0.0000], [0.7330, 0.2330, 0.5000]], "m_tot_mub_per_cell": 0.002, "de_polymorph_mev_per_atom": 5}


{"formula": "BeSnPt2", "functional": "PBE", "state": "relaxed", "cell": [[0.0000, 3.1653, 3.1653], [3.1653, 0.0000, 3.1653], [3.1653, 3.1653, 0.0000]], "species": ["Be", "Pt", "Pt", "Sn"], "fractional_positions": [[0.2500, 0.2500, 0.2500], [0.0000, 0.0000, 0.0000], [0.7500, 0.7500, 0.7500], [0.5000, 0.5000, 0.5000]], "m_tot_mub_per_cell": 0.001, "final_energy_ev_per_cell": -20.1}


{"formula": "KSmTeO", "functional": "PBE", "state": "relaxed", "cell": [[1.9846, 1.1458, 7.5469], [-1.9846, 1.1458, 7.5469], [0.0000, -2.2916, 7.5469]], "species": ["K", "O", "Sm", "Te"], "fractional_positions": [[0.0102, 0.0102, 0.0102], [0.7727, 0.7727, 0.7727], [0.4795, 0.4795, 0.4795], [0.2375, 0.2375, 0.2375]], "m_tot_mub_per_cell": 0.016, "de_polymorph_mev_per_atom": 262}